No. 1
DyPuPaAl: relaxed, PBE-GGA.

a = 7.267 Å, b = 7.267 Å, c = 7.267 Å
α = 90.00°, β = 90.00°, γ = 90.00°
Atoms (fractional coordinates):
Dy1 0.000 0.000 0.000
Dy2 0.000 0.500 0.500
Dy3 0.500 0.000 0.500
Dy4 0.500 0.500 0.000
Pu1 0.000 0.000 0.500
Pu2 0.000 0.500 0.000
Pu3 0.500 0.000 0.000
Pu4 0.500 0.500 0.500
Pa1 0.250 0.250 0.250
Pa2 0.250 0.750 0.750
Pa3 0.750 0.250 0.750
Pa4 0.750 0.750 0.250
Al1 0.250 0.250 0.750
Al2 0.250 0.750 0.250
Al3 0.750 0.250 0.250
Al4 0.750 0.750 0.750

Results
energy relative to the elements = 0.10 eV per atom
E = -7.9427 eV/atom

***

No. 2
CeTmTl: relaxed, PBE-GGA.

a = 3.511 Å, b = 5.080 Å, c = 9.303 Å
α = 90.00°, β = 90.00°, γ = 90.00°
Atoms (fractional coordinates):
Ce1 0.250 0.250 0.035
Ce2 0.750 0.750 0.965
Tm1 0.250 0.750 0.619
Tm2 0.750 0.250 0.381
Tl1 0.250 0.750 0.279
Tl2 0.750 0.250 0.721

Results
energy relative to the elements = -0.17 eV per atom
E = -4.4307 eV/atom
energy above the most stable polymorph in this dataset = 0.09 eV per formula unit

***

No. 3
Hf6NiN3: relaxed, PBE-GGA.

a = 9.792 Å, b = 3.226 Å, c = 10.115 Å
α = 90.00°, β = 110.82°, γ = 90.00°
Atoms (fractional coordinates):
Hf1 0.033 0.250 0.363
Hf2 0.137 0.750 0.124
Hf3 0.265 0.250 0.663
Hf4 0.343 0.750 0.442
Hf5 0.350 0.750 0.941
Hf6 0.434 0.250 0.225
Hf7 0.566 0.750 0.775
Hf8 0.650 0.250 0.059
Hf9 0.657 0.250 0.558
Hf10 0.735 0.750 0.337
Hf11 0.863 0.250 0.876
Hf12 0.967 0.750 0.637
Ni1 0.126 0.250 0.885
Ni2 0.874 0.750 0.115
N1 0.141 0.750 0.515
N2 0.225 0.250 0.279
N3 0.459 0.250 0.860
N4 0.541 0.750 0.140
N5 0.775 0.750 0.721
N6 0.859 0.250 0.485

Results
raw formation energy = -1.156 eV per atom
E = -10.2040 eV/atom